KYNiF2 | PBE with a Hubbard U | relaxed

The calculation puts the density of states at the Fermi level at 0.67 states/eV/atom. For the total energy, the calculation gives -16.0 eV per cell. For the mass density, the calculation gives 3339 kg/m³. The value obtained for the volume is 22.35 A^3/atom.

a b c (Å): 4.954 4.954 4.554
angles (deg): 90.00 90.00 90.00
Atoms (fractional coordinates):
K (0.000, 0.000, 0.000)
Y (0.500, 0.500, 0.000)
Ni (0.500, 0.500, 0.500)
F (0.000, 0.500, 0.500)
F (0.500, 0.000, 0.500)